# 1
Crystalline LiAlSiS4 at its relaxed geometry. Source: the Alexandria database, functional PBE-GGA.

Calculated values
Total moment = 0.0 μB per cell
Density of states at the Fermi level = 0.0 states/eV/cell

```
7
Lattice="-2.865 2.865 4.643 2.865 -2.865 4.643 2.865 2.865 -4.643" Properties=species:S:1:pos:R:3 pbc="T T T"
Li 0.000 0.000 0.000
Al 0.000 0.000 4.643
Si 0.000 2.865 2.321
S 4.084 1.381 -1.226
S 1.381 1.645 1.226
S -1.220 1.484 3.417
S 1.484 1.220 5.869
```


# 2
Crystalline Li3Sm3AlS8 at its relaxed geometry. Source: the Alexandria database, functional PBE-GGA.

Calculated values
Total moment = 0.0 μB per cell
Density of states at the Fermi level = 10.0 states/eV/cell

```
15
Lattice="3.950 2.281 6.023 -3.950 2.281 6.023 0.000 -4.561 6.023" Properties=species:S:1:pos:R:3 pbc="T T T"
Li -1.975 -1.140 6.023
Li -1.975 1.140 12.047
Li 0.000 2.281 6.023
Sm -3.950 0.000 9.035
Sm -1.975 1.140 3.012
Sm 1.975 1.140 3.012
Al 0.000 0.000 9.035
S 0.000 0.000 4.578
S 0.000 -2.033 7.608
S -1.761 1.017 7.608
S -1.761 -1.017 10.463
S 1.761 1.017 7.608
S 1.761 -1.017 10.463
S 0.000 2.033 10.463
S 0.000 0.000 13.493
```


# 3
Crystalline Li4Sm3AlS8 at its relaxed geometry. Source: the Alexandria database, functional PBE-GGA.

Calculated values
Total moment = 0.0 μB per cell

```
16
Lattice="3.895 2.249 6.172 -3.895 2.249 6.172 0.000 -4.498 6.172" Properties=species:S:1:pos:R:3 pbc="T T T"
Li 0.000 0.000 0.000
Li -1.947 -1.124 6.172
Li -1.947 1.124 12.345
Li 0.000 2.249 6.172
Sm -3.895 0.000 9.259
Sm -1.947 1.124 3.086
Sm 1.947 1.124 3.086
Al 0.000 0.000 9.259
S 0.000 0.000 4.680
S 0.000 -2.054 7.754
S -1.779 1.027 7.754
S -1.779 -1.027 10.763
S 1.779 1.027 7.754
S 1.779 -1.027 10.763
S 0.000 2.054 10.763
S 0.000 0.000 13.838
```


# 4
Crystalline LiSm2AlS5 at its relaxed geometry. Source: the Alexandria database, functional PBE-GGA.

Calculated values
Total moment = 0.0 μB per cell

```
18
Lattice="1.919 -8.394 0.000 1.919 8.394 0.000 0.000 0.000 11.272" Properties=species:S:1:pos:R:3 pbc="T T T"
Li 1.919 4.793 5.636
Li 1.919 -4.793 0.000
Sm 1.919 6.349 1.844
Sm 1.919 6.176 8.856
Sm 1.919 -6.176 3.220
Sm 1.919 -6.349 7.480
Al 1.919 1.172 10.559
Al 1.919 -1.172 4.923
S 1.919 7.648 6.100
S 1.919 3.468 1.666
S 1.919 3.122 9.417
S 1.919 2.376 5.426
S 1.919 0.022 8.605
S 1.919 -0.022 2.969
S 1.919 -2.376 11.062
S 1.919 -3.122 3.781
S 1.919 -3.468 7.302
S 1.919 -7.648 0.464
```


# 5
Crystalline Li2SmAlS4 at its relaxed geometry. Source: the Alexandria database, functional PBE-GGA.

Calculated values
Total moment = 0.0 μB per cell
Density of states at the Fermi level = 0.0 states/eV/cell

```
16
Lattice="-3.651 3.920 5.310 3.651 -3.920 5.310 3.651 3.920 -5.310" Properties=species:S:1:pos:R:3 pbc="T T T"
Li 0.000 0.000 0.000
Li -1.826 1.960 2.655
Li 0.000 3.920 0.000
Li 1.826 1.960 2.655
Sm 3.651 0.000 0.000
Sm 0.000 0.000 5.310
Al 1.826 1.960 -2.655
Al 1.826 -1.960 2.655
S 3.651 3.637 -2.749
S 3.651 -0.283 2.749
S 1.734 1.960 -0.066
S 1.917 -1.960 5.244
S 1.734 5.881 0.066
S 1.917 1.960 5.376
S 0.000 4.204 2.561
S 0.000 0.283 8.059
```


# 6
Crystalline Li2AlSnS4 at its relaxed geometry. Source: the Alexandria database, functional PBE-GGA.

Calculated values
Total moment = 0.0 μB per cell
Density of states at the Fermi level = 5.8 states/eV/cell

```
16
Lattice="8.162 0.000 0.000 0.000 6.947 0.000 0.000 0.000 6.336" Properties=species:S:1:pos:R:3 pbc="T T T"
Li 2.028 1.193 0.000
Li 2.053 5.754 3.168
Li 6.110 5.754 3.168
Li 6.134 1.193 0.000
Al 0.000 4.622 0.048
Al 4.081 2.325 3.216
Sn 0.000 2.272 3.120
Sn 4.081 4.675 6.288
S 0.000 2.453 5.718
S 0.000 4.703 2.326
S 1.777 5.786 5.608
S 2.304 1.161 2.440
S 4.081 2.244 5.493
S 4.081 4.494 2.550
S 5.858 1.161 2.440
S 6.386 5.786 5.608
```


| no. | total DFT energy (no corrections) (eV/atom) |
| --- | --- |
| 1 | -4.95 |
| 2 | -5.30 |
| 3 | -5.26 |
| 4 | -5.65 |
| 5 | -5.03 |
| 6 | -4.48 |